Entry 1:
The following is a DFT calculation (PBE-GGA) of a relaxed structure of BaNb2NiSe.

V in Å³ per cell: 136.55
Relative energy among the computed polymorphs in meV/atom: 12

Cell: 4.6765 4.6765 6.2438 Å, 90.00 90.00 90.00°
Last column: nearest neighbours and their distance in Å.
Fractional positions:
Ba: 0.0000 0.0000 0.0000  2 Ni 3.12, 4 Se 3.31
Nb: 0.0000 0.5000 0.5000  2 Ni 2.34
Nb: 0.5000 0.0000 0.5000  2 Ni 2.34
Ni: 0.0000 0.0000 0.5000  4 Nb 2.34
Se: 0.5000 0.5000 0.0000  4 Ba 3.31



Entry 2:
The following is a DFT calculation (PBE-GGA) of a relaxed structure of AcAlIO6.

V in Å³ per cell: 128.61
Raw total energy in eV for the cell shown: -56.69

Cell: 5.2290 5.2290 5.4314 Å, 90.00 90.00 120.00°
Last column: nearest neighbours and their distance in Å.
Fractional positions:
Ac: 0.0000 0.0000 0.0000  6 O 2.56
Al: 0.3333 0.6667 0.5000  6 O 1.94
I: 0.6667 0.3333 0.5000  6 O 2.02
O: 0.0117 0.3865 0.7051  1 Al 1.94, 1 I 2.02
O: 0.0117 0.6252 0.2949  1 Al 1.94, 1 I 2.02
O: 0.3748 0.3865 0.2949  1 Al 1.94, 1 I 2.02
O: 0.3748 0.9883 0.7051  1 Al 1.94, 1 I 2.02
O: 0.6135 0.6252 0.7051  1 Al 1.94, 1 I 2.02
O: 0.6135 0.9883 0.2949  1 Al 1.94, 1 I 2.02



Entry 3:
The following is a DFT calculation (PBE-GGA) of a relaxed structure of Na4MgPb4.

V in Å³ per cell: 262.19
Energy relative to the elements in eV/atom: -0.092

Cell: 7.7438 7.7438 7.7438 Å, 95.62 95.62 143.52°
Last column: nearest neighbours and their distance in Å.
Fractional positions:
Na: 0.0000 0.3200 0.3200  1 Mg 3.33, 6 Pb 3.38-3.52, 4 Na 3.59
Na: 0.0000 0.6800 0.6800  1 Mg 3.33, 6 Pb 3.38-3.52, 4 Na 3.59
Na: 0.3200 0.0000 0.3200  1 Mg 3.33, 6 Pb 3.38-3.52, 4 Na 3.59
Na: 0.6800 0.0000 0.6800  1 Mg 3.33, 6 Pb 3.38-3.52, 4 Na 3.59
Mg: 0.0000 0.0000 0.0000  4 Na 3.33, 8 Pb 3.40
Pb: 0.3375 0.3375 0.6751  6 Na 3.38-3.52, 4 Pb 3.38-3.54, 2 Mg 3.40
Pb: 0.3375 0.6625 0.0000  6 Na 3.38-3.52, 4 Pb 3.38-3.54, 2 Mg 3.40
Pb: 0.6625 0.3375 0.0000  6 Na 3.38-3.52, 4 Pb 3.38-3.54, 2 Mg 3.40
Pb: 0.6625 0.6625 0.3249  6 Na 3.38-3.52, 4 Pb 3.38-3.54, 2 Mg 3.40



Entry 4:
The following is a DFT calculation (PBE-GGA) of a relaxed structure of NaTmTe2.

V in Å³ per cell: 125.82
Raw total energy in eV for the cell shown: -16.84

Cell: 8.3750 8.3750 8.3750 Å, 29.47 29.47 29.47°
Last column: nearest neighbours and their distance in Å.
Fractional positions:
Na: 0.0000 0.0000 0.0000  6 Te 3.24-3.27
Tm: 0.1678 0.1678 0.1678  6 Te 3.09
Te: 0.4232 0.4232 0.4232  3 Tm 3.09, 3 Na 3.27
Te: 0.5788 0.5788 0.5788  3 Tm 3.09, 3 Na 3.24



Entry 5:
The following is a DFT calculation (PBE-GGA) of a relaxed structure of Tb6DyY3Tm2.

V in Å³ per cell: 378.89
Energy relative to the elements in eV/atom: 0.019

Cell: 6.1471 6.1471 11.7506 Å, 94.98 94.98 119.95°
Last column: nearest neighbours and their distance in Å.
Fractional positions:
Tb: 0.0831 0.4167 0.7520  2 Tm 3.52-3.53, 1 Dy 3.53, 6 Tb 3.55, 3 Y 3.56-3.57
Tb: 0.2496 0.2496 0.2479  1 Dy 3.52, 2 Tm 3.53, 6 Tb 3.55, 3 Y 3.57
Tb: 0.4167 0.0831 0.7520  2 Tm 3.52-3.53, 1 Dy 3.53, 6 Tb 3.55, 3 Y 3.56-3.57
Tb: 0.5833 0.9169 0.2480  2 Tm 3.52-3.53, 1 Dy 3.53, 6 Tb 3.55, 3 Y 3.56-3.57
Tb: 0.7504 0.7504 0.7521  1 Dy 3.52, 2 Tm 3.53, 6 Tb 3.55, 3 Y 3.57
Tb: 0.9169 0.5833 0.2480  2 Tm 3.52-3.53, 1 Dy 3.53, 6 Tb 3.55, 3 Y 3.56-3.57
Dy: 0.5000 0.5000 0.0000  6 Tb 3.52-3.53, 6 Tm 3.55
Y: 0.0000 0.0000 0.5000  6 Y 3.55, 6 Tb 3.56-3.57
Y: 0.3332 0.6668 0.5000  6 Y 3.55, 6 Tb 3.56-3.57
Y: 0.6668 0.3332 0.5000  6 Y 3.55, 6 Tb 3.56-3.57
Tm: 0.1667 0.8333 0.0000  6 Tb 3.52-3.53, 3 Tm 3.55, 3 Dy 3.55
Tm: 0.8333 0.1667 0.0000  6 Tb 3.52-3.53, 3 Tm 3.55, 3 Dy 3.55



- Look up the V of the third one.
  262.19 Å³ per cell



- The highest V belongs to which entry?
  Tb6DyY3Tm2



Please write out number 5 again, unchanged.
The following is a DFT calculation (PBE-GGA) of a relaxed structure of Tb6DyY3Tm2.

V in Å³ per cell: 378.89
Energy relative to the elements in eV/atom: 0.019

Cell: 6.1471 6.1471 11.7506 Å, 94.98 94.98 119.95°
Last column: nearest neighbours and their distance in Å.
Fractional positions:
Tb: 0.0831 0.4167 0.7520  2 Tm 3.52-3.53, 1 Dy 3.53, 6 Tb 3.55, 3 Y 3.56-3.57
Tb: 0.2496 0.2496 0.2479  1 Dy 3.52, 2 Tm 3.53, 6 Tb 3.55, 3 Y 3.57
Tb: 0.4167 0.0831 0.7520  2 Tm 3.52-3.53, 1 Dy 3.53, 6 Tb 3.55, 3 Y 3.56-3.57
Tb: 0.5833 0.9169 0.2480  2 Tm 3.52-3.53, 1 Dy 3.53, 6 Tb 3.55, 3 Y 3.56-3.57
Tb: 0.7504 0.7504 0.7521  1 Dy 3.52, 2 Tm 3.53, 6 Tb 3.55, 3 Y 3.57
Tb: 0.9169 0.5833 0.2480  2 Tm 3.52-3.53, 1 Dy 3.53, 6 Tb 3.55, 3 Y 3.56-3.57
Dy: 0.5000 0.5000 0.0000  6 Tb 3.52-3.53, 6 Tm 3.55
Y: 0.0000 0.0000 0.5000  6 Y 3.55, 6 Tb 3.56-3.57
Y: 0.3332 0.6668 0.5000  6 Y 3.55, 6 Tb 3.56-3.57
Y: 0.6668 0.3332 0.5000  6 Y 3.55, 6 Tb 3.56-3.57
Tm: 0.1667 0.8333 0.0000  6 Tb 3.52-3.53, 3 Tm 3.55, 3 Dy 3.55
Tm: 0.8333 0.1667 0.0000  6 Tb 3.52-3.53, 3 Tm 3.55, 3 Dy 3.55